# 1
YBiIrCl2 | Alexandria via LeMat-Bulk | PBE | relaxed; raw total energy = -4.624 eV per atom; magnetization = 1.50 Bohr magnetons per cell; formation energy from raw total energies = -0.044 eV per atom
1.0
-2.975 -1.292 -3.755
-4.033 -3.160 4.283
-2.606 4.176 0.628
Y Ir Bi Cl
1 1 1 2
Direct
0.000 0.000 0.000
0.500 0.500 0.500
0.000 0.500 0.000
0.000 0.000 0.500
0.500 0.000 0.000

***

# 2
Fe2CuRu | Alexandria via LeMat-Bulk | PBE | relaxed; raw total energy = -7.411 eV per atom; magnetization = 5.09 Bohr magnetons per cell; energy relative to the lowest polymorph listed for this composition = 0.000 kcal/mol of atoms; DFT formation energy = 0.1638 eV/atom
1.0
4.509 0.008 0.000
-1.522 4.244 0.000
0.000 0.000 2.607
Cu Fe Ru
1 2 1
Direct
0.000 0.500 0.500
0.000 0.000 0.000
0.500 0.500 0.000
0.500 0.000 0.500

***

# 3
Sr3Al2Ge2 | Alexandria via LeMat-Bulk | PBE | relaxed; raw total energy = -3.623 eV per atom; magnetization = 0.00 Bohr magnetons per cell; DFT formation energy = -0.5137 eV/atom
1.0
4.256 0.000 0.000
0.000 4.856 0.000
-2.133 -2.428 9.686
Sr Ge Al
3 2 2
Direct
0.815 0.815 0.631
0.500 0.000 0.000
0.185 0.185 0.369
0.359 0.359 0.718
0.641 0.641 0.282
0.933 0.434 0.867
0.067 0.566 0.133